w) Pm12Sm6Y | PBE | optimized geometry

Properties
The magnetic moment comes out at 0.00 μB/f.u.

Geometry as CIF:
```
data_Pm12Sm6Y
_cell_length_a 9.624
_cell_length_b 9.624
_cell_length_c 9.624
_cell_angle_alpha 109.35
_cell_angle_beta 109.35
_cell_angle_gamma 109.35
_space_group_name_H-M_alt 'P 1'
_space_group_IT_number 1
_space_group_name_Hall 'P 1'
loop_
_atom_site_label
_atom_site_type_symbol
_atom_site_fract_x
_atom_site_fract_y
_atom_site_fract_z
Pm1 Pm 0.000 0.393 0.607
Pm2 Pm 0.000 0.607 0.393
Pm3 Pm 0.120 0.120 0.324
Pm4 Pm 0.120 0.324 0.120
Pm5 Pm 0.324 0.120 0.120
Pm6 Pm 0.393 0.000 0.607
Pm7 Pm 0.393 0.607 0.000
Pm8 Pm 0.607 0.000 0.393
Pm9 Pm 0.607 0.393 0.000
Pm10 Pm 0.676 0.880 0.880
Pm11 Pm 0.880 0.676 0.880
Pm12 Pm 0.880 0.880 0.676
Sm1 Sm 0.170 0.170 0.724
Sm2 Sm 0.170 0.724 0.170
Sm3 Sm 0.276 0.830 0.830
Sm4 Sm 0.724 0.170 0.170
Sm5 Sm 0.830 0.276 0.830
Sm6 Sm 0.830 0.830 0.276
Y1 Y 0.500 0.500 0.500
```



x) Pm12Sm6Y | PBE | optimized geometry

Properties
The magnetic moment comes out at 0.00 μB/f.u.

Geometry as CIF:
```
data_Pm12Sm6Y
_cell_length_a 8.710
_cell_length_b 8.710
_cell_length_c 8.710
_cell_angle_alpha 89.13
_cell_angle_beta 89.13
_cell_angle_gamma 89.13
_space_group_name_H-M_alt 'P 1'
_space_group_IT_number 1
_space_group_name_Hall 'P 1'
loop_
_atom_site_label
_atom_site_type_symbol
_atom_site_fract_x
_atom_site_fract_y
_atom_site_fract_z
Pm1 Pm 0.017 0.195 0.360
Pm2 Pm 0.195 0.360 0.017
Pm3 Pm 0.221 0.463 0.565
Pm4 Pm 0.360 0.017 0.195
Pm5 Pm 0.435 0.779 0.537
Pm6 Pm 0.463 0.565 0.221
Pm7 Pm 0.537 0.435 0.779
Pm8 Pm 0.565 0.221 0.463
Pm9 Pm 0.640 0.983 0.805
Pm10 Pm 0.779 0.537 0.435
Pm11 Pm 0.805 0.640 0.983
Pm12 Pm 0.983 0.805 0.640
Sm1 Sm 0.096 0.698 0.262
Sm2 Sm 0.262 0.096 0.698
Sm3 Sm 0.302 0.738 0.904
Sm4 Sm 0.698 0.262 0.096
Sm5 Sm 0.738 0.904 0.302
Sm6 Sm 0.904 0.302 0.738
Y1 Y 0.000 0.000 0.000
```



It is x) that is most stable; the runner-up trails by 277 meV per atom.



w) Pm5Sm4Y | PBE | optimized geometry

Properties
The magnetic moment comes out at 0.00 μB/f.u.

Geometry as CIF:
```
data_Pm5Sm4Y
_cell_length_a 14.465
_cell_length_b 14.465
_cell_length_c 6.906
_cell_angle_alpha 96.89
_cell_angle_beta 96.89
_cell_angle_gamma 13.88
_space_group_name_H-M_alt 'P 1'
_space_group_IT_number 1
_space_group_name_Hall 'P 1'
loop_
_atom_site_label
_atom_site_type_symbol
_atom_site_fract_x
_atom_site_fract_y
_atom_site_fract_z
Pm1 Pm 0.000 0.000 0.000
Pm2 Pm 0.294 0.294 0.395
Pm3 Pm 0.299 0.299 0.899
Pm4 Pm 0.701 0.701 0.101
Pm5 Pm 0.706 0.706 0.605
Sm1 Sm 0.107 0.107 0.310
Sm2 Sm 0.406 0.406 0.201
Sm3 Sm 0.594 0.594 0.799
Sm4 Sm 0.893 0.893 0.690
Y1 Y 0.000 0.000 0.500
```



x) Pm5Sm4Y | PBE | optimized geometry

Properties
The magnetic moment comes out at 0.00 μB/f.u.

Geometry as CIF:
```
data_Pm5Sm4Y
_cell_length_a 8.114
_cell_length_b 8.114
_cell_length_c 8.114
_cell_angle_alpha 98.30
_cell_angle_beta 98.30
_cell_angle_gamma 135.34
_space_group_name_H-M_alt 'P 1'
_space_group_IT_number 1
_space_group_name_Hall 'P 1'
loop_
_atom_site_label
_atom_site_type_symbol
_atom_site_fract_x
_atom_site_fract_y
_atom_site_fract_z
Pm1 Pm 0.000 0.000 0.000
Pm2 Pm 0.078 0.078 0.621
Pm3 Pm 0.078 0.456 0.000
Pm4 Pm 0.456 0.078 0.000
Pm5 Pm 0.456 0.456 0.379
Sm1 Sm 0.074 0.749 0.325
Sm2 Sm 0.424 0.749 0.675
Sm3 Sm 0.749 0.074 0.325
Sm4 Sm 0.749 0.424 0.675
Y1 Y 0.534 0.534 0.000
```



It is w) that is most stable; the runner-up trails by 95 meV per atom.



w) PmSmY2 | PBE | optimized geometry

Properties
The magnetic moment comes out at 0.00 μB/f.u.

Geometry as CIF:
```
data_PmSmY2
_cell_length_a 3.626
_cell_length_b 3.626
_cell_length_c 34.993
_cell_angle_alpha 90.00
_cell_angle_beta 90.00
_cell_angle_gamma 120.00
_space_group_name_H-M_alt 'P 1'
_space_group_IT_number 1
_space_group_name_Hall 'P 1'
loop_
_atom_site_label
_atom_site_type_symbol
_atom_site_fract_x
_atom_site_fract_y
_atom_site_fract_z
Pm1 Pm 0.000 0.000 0.000
Pm2 Pm 0.333 0.667 0.667
Pm3 Pm 0.667 0.333 0.333
Sm1 Sm 0.000 0.000 0.166
Sm2 Sm 0.333 0.667 0.833
Sm3 Sm 0.667 0.333 0.499
Y1 Y 0.000 0.000 0.582
Y2 Y 0.000 0.000 0.750
Y3 Y 0.333 0.667 0.249
Y4 Y 0.333 0.667 0.416
Y5 Y 0.667 0.333 0.083
Y6 Y 0.667 0.333 0.916
```



x) PmSmY2 | PBE | optimized geometry

Properties
The magnetic moment comes out at 0.00 μB/f.u.

Geometry as CIF:
```
data_PmSmY2
_cell_length_a 3.672
_cell_length_b 11.534
_cell_length_c 6.343
_cell_angle_alpha 90.00
_cell_angle_beta 90.00
_cell_angle_gamma 90.00
_space_group_name_H-M_alt 'P 1'
_space_group_IT_number 1
_space_group_name_Hall 'P 1'
loop_
_atom_site_label
_atom_site_type_symbol
_atom_site_fract_x
_atom_site_fract_y
_atom_site_fract_z
Pm1 Pm 0.000 0.000 0.000
Pm2 Pm 0.500 0.500 0.500
Sm1 Sm 0.000 0.500 0.999
Sm2 Sm 0.500 0.000 0.499
Y1 Y 0.000 0.250 0.667
Y2 Y 0.000 0.750 0.667
Y3 Y 0.500 0.250 0.167
Y4 Y 0.500 0.750 0.167
```



It is w) that is most stable; the runner-up trails by 9 meV per atom.